Entry 1:
A plane-wave DFT calculation with PBE-GGA was carried out for crystalline TiAl2BBr at its relaxed geometry.

Summary:
* formation energy without anion corrections: 1.48 eV/atom
* E: -16.3 eV/cell

Lattice parameters (Å, degrees): 4.9844 4.9844 4.0448 90.00 90.00 90.00
Last column: nearest neighbours and their distance in Å.
Space group P4/mmm (No. 123)
Inequivalent atoms, fractional coordinates:
Ti 0.0000 0.0000 0.0000 [1 per cell]  8 Al 3.21, 4 B 3.52
Al 0.0000 0.5000 0.5000 [2 per cell]  2 Br 2.49
B 0.5000 0.5000 0.0000 [1 per cell]  2 Br 2.02
Br 0.5000 0.5000 0.5000 [1 per cell]  2 B 2.02

Entry 2:
A plane-wave DFT calculation with PBE-GGA was carried out for crystalline MgMn2Ir at its relaxed geometry.

Summary:
* E: -28.9 eV/cell
* ΔH_f (0 K): -34 meV per atom

Lattice parameters (Å, degrees): 3.1180 3.1180 6.0153 90.00 90.00 90.00
Last column: nearest neighbours and their distance in Å.
Space group P4mm (No. 99)
Inequivalent atoms, fractional coordinates:
Mg 0.0000 0.0000 0.0000 [1 per cell]  4 Ir 2.70, 5 Mn 2.85-2.98
Mn 0.0000 0.0000 0.4946 [1 per cell]  4 Mn 2.50, 4 Ir 2.66
Mn 0.5000 0.5000 0.2994 [1 per cell]  4 Mn 2.50, 1 Ir 2.66
Ir 0.5000 0.5000 0.7418 [1 per cell]  5 Mn 2.66, 4 Mg 2.70

Entry 3:
A plane-wave DFT calculation with PBE-GGA was carried out for crystalline MgPd2I at its relaxed geometry.

Summary:
* formation energy without anion corrections: -0.08 eV/atom
* E: -55.5 eV/cell
* excess energy over the best structure of this formula in the dataset: 0.0595 eV/atom

Lattice parameters (Å, degrees): 4.2418 4.2418 18.4550 90.00 90.00 90.00
Last column: nearest neighbours and their distance in Å.
Space group I-42d (No. 122)
Inequivalent atoms, fractional coordinates:
Mg 0.0000 0.0000 0.0000 [4 per cell]  4 Pd 2.73, 4 I 3.00
Pd 0.2382 0.2500 0.1250 [8 per cell]  2 Mg 2.73, 2 I 2.77, 2 Pd 2.93
I 0.0000 0.0000 0.5000 [4 per cell]  4 Pd 2.77, 4 Mg 3.00

Entry 4:
A plane-wave DFT calculation with PBE-GGA was carried out for crystalline Li2CaHg at its relaxed geometry.

Summary:
* E: -6.9 eV/cell
* ΔH_f (0 K): -203 meV per atom

Lattice parameters (Å, degrees): 3.7414 5.0389 5.3208 90.00 96.44 90.00
Last column: nearest neighbours and their distance in Å.
Space group P2/m (No. 10)
Inequivalent atoms, fractional coordinates:
Li 0.1815 0.0000 0.2922 [2 per cell]  1 Li 2.72, 2 Hg 2.86
Ca 0.5000 0.5000 0.0000 [1 per cell]  4 Hg 3.08-3.42, 4 Li 3.26
Hg 0.0000 0.5000 0.5000 [1 per cell]  4 Li 2.86, 2 Ca 3.08

Entry 5:
A plane-wave DFT calculation with PBE-GGA was carried out for crystalline Be3PdS at its relaxed geometry.

Summary:
* formation energy without anion corrections: 0.47 eV/atom
* E: -18.2 eV/cell
* excess energy over the best structure of this formula in the dataset: 0.0000 eV/atom

Lattice parameters (Å, degrees): 4.0095 4.0095 4.0095 90.00 90.00 90.00
Last column: nearest neighbours and their distance in Å.
Space group Pm-3m (No. 221)
Inequivalent atoms, fractional coordinates:
Be 0.0000 0.0000 0.5000 [3 per cell]  2 S 2.00
Pd 0.5000 0.5000 0.5000 [1 per cell]  12 Be 2.84
S 0.0000 0.0000 0.0000 [1 per cell]  6 Be 2.00

Entry 6:
A plane-wave DFT calculation with PBE-GGA was carried out for crystalline FeTePt at its relaxed geometry.

Summary:
* formation energy without anion corrections: 0.14 eV/atom
* E: -68.9 eV/cell
* excess energy over the best structure of this formula in the dataset: 0.0365 eV/atom

Lattice parameters (Å, degrees): 8.6359 4.0401 6.9950 90.00 90.00 90.00
Last column: nearest neighbours and their distance in Å.
Space group Amm2 (No. 38)
Inequivalent atoms, fractional coordinates:
Fe 0.1394 0.0000 0.0000 [4 per cell]  1 Fe 2.41, 3 Pt 2.62
Te 0.3088 0.0000 0.6670 [4 per cell]  4 Pt 2.67-2.86, 3 Fe 2.75
Pt 0.0000 0.0000 0.6666 [2 per cell]  6 Fe 2.62, 2 Te 2.67
Pt 0.5000 0.0000 0.0016 [2 per cell]  6 Te 2.85-2.86, 2 Fe 3.11

Entry 7:
A plane-wave DFT calculation with PBE-GGA was carried out for crystalline SrOs2PtC at its relaxed geometry.

Summary:
* E: -20.5 eV/cell
* ΔH_f (0 K): 3772 meV per atom

Lattice parameters (Å, degrees): 4.8938 4.8938 4.1912 90.00 90.00 90.00
Last column: nearest neighbours and their distance in Å.
Space group P4/mmm (No. 123)
Inequivalent atoms, fractional coordinates:
Sr 0.0000 0.0000 0.0000 [1 per cell]  2 C 2.10
Os 0.0000 0.5000 0.0000 [2 per cell]  2 Sr 2.45
Pt 0.5000 0.5000 0.5000 [1 per cell]  8 Os 3.22, 4 C 3.46
C 0.0000 0.0000 0.5000 [1 per cell]  2 Sr 2.10

Entry 8:
A plane-wave DFT calculation with PBE-GGA was carried out for crystalline SmTl2AsS4 at its relaxed geometry.

Summary:
* formation energy without anion corrections: -0.75 eV/atom
* E: -146.5 eV/cell

Lattice parameters (Å, degrees): 8.2354 8.3945 11.7739 90.00 90.00 90.00
Last column: nearest neighbours and their distance in Å.
Space group Imma (No. 74)
Inequivalent atoms, fractional coordinates:
Sm 0.0000 0.0000 0.0000 [4 per cell]  6 S 2.81-2.83
Tl 0.0000 0.0000 0.5000 [4 per cell]  6 S 3.10
Tl 0.2500 0.2500 0.2500 [4 per cell]  6 S 3.21-3.23
As 0.2500 0.2500 0.7500 [4 per cell]  6 S 2.67-2.70
S 0.0000 0.0423 0.7611 [8 per cell]  2 As 2.70, 1 Sm 2.83
S 0.2248 0.2500 0.9759 [8 per cell]  1 As 2.67, 2 Sm 2.81